(1)
HfZr3Re (PBE-GGA, relaxed); polymorph energy (0 for the lowest one) = 1090 meV per atom; DFT formation energy = 1.733 eV per atom; ρ = 8.61 Mg/m³; Fermi-level density of states = 1.064 states/eV/atom
1.0
4.975 0.000 0.000
0.000 4.975 0.000
0.000 0.000 4.975
Zr Hf Re
3 1 1
Direct
0.000 0.000 0.500 Zr
0.000 0.500 0.000 Zr
0.500 0.000 0.000 Zr
0.000 0.000 0.000 Hf
0.500 0.500 0.500 Re

***

(2)
SrPmGd (PBE-GGA, relaxed); polymorph energy (0 for the lowest one) = 22 meV per atom; DFT formation energy = 0.119 eV per atom; ρ = 5.58 Mg/m³; Fermi-level density of states = 1.575 states/eV/atom
1.0
-0.278 -3.702 0.698
2.851 1.317 -2.098
5.201 1.068 7.737
Gd Sr Pm
1 1 1
Direct
0.667 0.333 0.353 Gd
0.000 0.000 0.000 Sr
0.333 0.667 0.647 Pm

***

(3)
Cu2ReCl (PBE-GGA, relaxed); polymorph energy (0 for the lowest one) = 0 meV per atom; ρ = 10.10 Mg/m³; Fermi-level density of states = 0.965 states/eV/atom
1.0
-2.782 2.221 -7.268
-4.329 -0.184 -6.835
-5.225 2.331 -5.724
Cu Cl Re
2 1 1
Direct
0.003 0.003 0.003 Cu
0.497 0.497 0.497 Cu
0.750 0.750 0.750 Cl
0.250 0.250 0.250 Re

***

(4)
BaHg4Pd (PBE-GGA, relaxed); polymorph energy (0 for the lowest one) = 0 meV per atom; DFT formation energy = -0.348 eV per atom; ρ = 10.92 Mg/m³; Fermi-level density of states = 0.346 states/eV/atom
1.0
4.455 0.000 0.000
0.000 7.897 0.000
0.000 0.000 9.046
Hg Pd Ba
8 2 2
Direct
0.500 0.946 0.750 Hg
0.000 0.000 0.500 Hg
0.000 0.000 0.000 Hg
0.500 0.307 0.940 Hg
0.500 0.693 0.440 Hg
0.500 0.693 0.060 Hg
0.500 0.307 0.560 Hg
0.500 0.054 0.250 Hg
0.000 0.202 0.750 Pd
0.000 0.798 0.250 Pd
0.000 0.394 0.250 Ba
0.000 0.606 0.750 Ba

***

(5)
KPm2Er (PBE-GGA, relaxed); DFT formation energy = 0.200 eV per atom; ρ = 5.41 Mg/m³; Fermi-level density of states = 1.114 states/eV/atom
1.0
-0.132 -0.954 -3.499
3.025 -1.050 -1.710
-1.426 -13.311 1.802
Pm Er K
2 1 1
Direct
0.096 0.096 0.712 Pm
0.904 0.904 0.288 Pm
0.500 0.500 0.500 Er
0.000 0.000 0.000 K

***

(6)
TbPrCoAg (PBE-GGA, relaxed); DFT formation energy = -0.088 eV per atom; ρ = 8.43 Mg/m³; Fermi-level density of states = 0.810 states/eV/atom
1.0
5.065 0.000 0.000
2.532 4.386 0.000
2.532 1.462 4.135
Ag Co Tb Pr
1 1 1 1
Direct
0.750 0.750 0.750 Ag
0.250 0.250 0.250 Co
0.500 0.500 0.500 Tb
0.000 0.000 0.000 Pr

***

(7)
NpBC (PBE-GGA, relaxed); polymorph energy (0 for the lowest one) = 209 meV per atom; DFT formation energy = -0.007 eV per atom; ρ = 11.75 Mg/m³; Fermi-level density of states = 1.474 states/eV/atom
1.0
-1.354 -2.479 0.283
2.495 -2.937 0.451
-0.370 -0.998 3.731
B Np C
1 1 1
Direct
0.698 0.802 0.802 B
0.221 0.279 0.279 Np
0.081 0.919 0.919 C

***

(8)
Y2Cu12Ni5 (PBE-GGA, relaxed); polymorph energy (0 for the lowest one) = 0 meV per atom; DFT formation energy = -0.155 eV per atom; ρ = 8.05 Mg/m³; Fermi-level density of states = 0.502 states/eV/atom
1.0
8.186 0.000 0.000
0.000 8.476 0.000
0.000 -4.238 7.340
Ni Cu Y
10 24 4
Direct
0.399 0.667 0.333 Ni
0.500 0.000 0.500 Ni
0.101 0.667 0.333 Ni
0.899 0.333 0.667 Ni
0.500 0.500 0.000 Ni
0.000 0.500 0.000 Ni
0.000 0.500 0.500 Ni
0.000 0.000 0.500 Ni
0.601 0.333 0.667 Ni
0.500 0.500 0.500 Ni
0.750 0.627 0.957 Cu
0.750 0.330 0.373 Cu
0.250 0.373 0.330 Cu
0.479 0.167 0.333 Cu
0.021 0.167 0.333 Cu
0.479 0.167 0.833 Cu
0.479 0.667 0.833 Cu
0.250 0.670 0.627 Cu
0.021 0.167 0.833 Cu
0.250 0.957 0.330 Cu
0.979 0.833 0.167 Cu
0.250 0.670 0.043 Cu
0.750 0.627 0.670 Cu
0.750 0.043 0.373 Cu
0.521 0.833 0.667 Cu
0.750 0.043 0.670 Cu
0.521 0.833 0.167 Cu
0.021 0.667 0.833 Cu
0.979 0.333 0.167 Cu
0.979 0.833 0.667 Cu
0.750 0.330 0.957 Cu
0.250 0.373 0.043 Cu
0.521 0.333 0.167 Cu
0.250 0.957 0.627 Cu
0.250 0.333 0.667 Y
0.750 0.000 0.000 Y
0.750 0.667 0.333 Y
0.250 0.000 0.000 Y